1.
Here is an optimized crystal structure of Fe2OsRh from Alexandria via LeMat-Bulk. Energies are from PBE-GGA.

Cell and atoms, written as POSCAR:
```
Fe2OsRh
1.0
-2.671 2.671 4.942
2.671 -2.671 4.942
2.671 2.671 -4.942
Fe Os Rh
4 2 2
direct
0.123 0.625 0.998
0.375 0.373 0.498
0.627 0.125 0.002
0.875 0.877 0.502
0.000 0.000 0.000
0.750 0.250 0.500
0.250 0.750 0.500
0.500 0.500 0.000
```

Results
Energy of formation from the pure elements   113.4 kJ per mole of atoms
Energy above the most stable polymorph in this dataset   1093 meV per atom

=====

2.
Here is an optimized crystal structure of CaAlRh from Alexandria via LeMat-Bulk. Energies are from PBE-GGA.

Cell and atoms, written as POSCAR:
```
CaAlRh
1.0
-1.617 1.622 5.557
1.617 -1.622 5.557
1.617 1.622 -5.557
Ca Al Rh
1 1 1
direct
0.000 0.000 0.000
0.285 0.285 0.000
0.686 0.686 0.000
```

Results
Energy of formation from the pure elements   -54.8 kJ per mole of atoms

=====

3.
Here is an optimized crystal structure of CuRhSe3 from Alexandria via LeMat-Bulk. Energies are from PBE-GGA.

Cell and atoms, written as POSCAR:
```
CuRhSe3
1.0
3.423 0.000 0.000
0.000 6.930 0.000
-1.623 0.000 8.284
Cu Rh Se
2 2 6
direct
0.027 0.250 0.091
0.973 0.750 0.909
0.268 0.750 0.543
0.732 0.250 0.457
0.173 0.023 0.333
0.173 0.477 0.333
0.436 0.250 0.899
0.564 0.750 0.101
0.827 0.523 0.667
0.827 0.977 0.667
```

Results
Energy above the most stable polymorph in this dataset   0 meV per atom

=====

4.
Here is an optimized crystal structure of Pu3CuPt8 from Alexandria via LeMat-Bulk. Energies are from PBE-GGA.

Cell and atoms, written as POSCAR:
```
Pu3CuPt8
1.0
2.705 1.562 8.813
-2.705 1.562 8.813
0.000 -3.123 8.813
Pu Cu Pt
3 1 8
direct
0.000 0.000 0.000
0.128 0.128 0.128
0.616 0.616 0.616
0.488 0.488 0.488
0.060 0.060 0.562
0.060 0.562 0.060
0.063 0.561 0.561
0.311 0.311 0.311
0.561 0.063 0.561
0.561 0.561 0.063
0.562 0.060 0.060
0.812 0.812 0.812
```

Results
Energy of formation from the pure elements   -64.6 kJ per mole of atoms

=====

Computed values of calculated density (unit: g cm⁻³) for the preceding records, in sequence: 9.5 4.8 6.8 17.5.
Computed values of magnetic moment (unit: μB per atom) for the preceding records, in sequence: 0.0000 0.0000 0.0000 1.2494.